Below is an optimized crystal structure of CeNdNiAg, with properties calculated at the PBE level.

Calculated values
- final energy (eV per cell) = -79.24
- energy of formation (eV/atom) = -0.119
- N(E_F) (states/eV per atom) = 2.154
- total moment (μB per formula unit) = 0.83

Lattice parameters (Å, degrees): 7.233 7.233 7.233 90.00 90.00 90.00
Space group F-43m (No. 216)
One atom of each set of equivalent atoms:
Ce (0.000, 0.000, 0.000) (multiplicity 4)
Nd (0.000, 0.000, 0.500) (multiplicity 4)
Ni (0.250, 0.250, 0.250) (multiplicity 4)
Ag (0.250, 0.250, 0.750) (multiplicity 4)


Below is an optimized crystal structure of CePrNdAg, with properties calculated at the PBE level.

Calculated values
- final energy (eV per cell) = -71.25
- energy of formation (eV/atom) = 0.130
- N(E_F) (states/eV per atom) = 2.258
- total moment (μB per formula unit) = 2.28

Lattice parameters (Å, degrees): 7.653 7.653 7.653 90.00 90.00 90.00
Space group F-43m (No. 216)
One atom of each set of equivalent atoms:
Ce (0.000, 0.000, 0.000) (multiplicity 4)
Pr (0.250, 0.250, 0.250) (multiplicity 4)
Nd (0.250, 0.250, 0.750) (multiplicity 4)
Ag (0.000, 0.000, 0.500) (multiplicity 4)


Below is an optimized crystal structure of CeNdAgRh, with properties calculated at the PBE level.

Calculated values
- final energy (eV per cell) = -89.55
- energy of formation (eV/atom) = -0.371
- N(E_F) (states/eV per atom) = 2.118
- total moment (μB per formula unit) = 0.79

Lattice parameters (Å, degrees): 7.241 7.241 7.241 90.00 90.00 90.00
Space group F-43m (No. 216)
One atom of each set of equivalent atoms:
Ce (0.000, 0.000, 0.000) (multiplicity 4)
Nd (0.000, 0.000, 0.500) (multiplicity 4)
Ag (0.250, 0.250, 0.250) (multiplicity 4)
Rh (0.250, 0.250, 0.750) (multiplicity 4)


Below is an optimized crystal structure of CeNdAgRu, with properties calculated at the PBE level.

Calculated values
- final energy (eV per cell) = -93.77
- energy of formation (eV/atom) = -0.153
- N(E_F) (states/eV per atom) = 1.946
- total moment (μB per formula unit) = 0.73

Lattice parameters (Å, degrees): 7.198 7.198 7.198 90.00 90.00 90.00
Space group F-43m (No. 216)
One atom of each set of equivalent atoms:
Ce (0.000, 0.000, 0.000) (multiplicity 4)
Nd (0.000, 0.000, 0.500) (multiplicity 4)
Ag (0.250, 0.250, 0.250) (multiplicity 4)
Ru (0.250, 0.250, 0.750) (multiplicity 4)


Below is an optimized crystal structure of CeNdSmAg, with properties calculated at the PBE level.

Calculated values
- final energy (eV per cell) = -71.01
- energy of formation (eV/atom) = 0.130
- N(E_F) (states/eV per atom) = 2.176
- total moment (μB per formula unit) = 2.54

Lattice parameters (Å, degrees): 7.608 7.608 7.608 90.00 90.00 90.00
Space group F-43m (No. 216)
One atom of each set of equivalent atoms:
Ce (0.000, 0.000, 0.000) (multiplicity 4)
Nd (0.250, 0.250, 0.250) (multiplicity 4)
Sm (0.250, 0.250, 0.750) (multiplicity 4)
Ag (0.000, 0.000, 0.500) (multiplicity 4)


Below is an optimized crystal structure of CeNdAgSn, with properties calculated at the PBE level.

Calculated values
- final energy (eV per cell) = -76.98
- energy of formation (eV/atom) = -0.422
- N(E_F) (states/eV per atom) = 2.444
- total moment (μB per formula unit) = 1.97

Lattice parameters (Å, degrees): 7.643 7.643 7.643 90.00 90.00 90.00
Space group F-43m (No. 216)
One atom of each set of equivalent atoms:
Ce (0.000, 0.000, 0.000) (multiplicity 4)
Nd (0.000, 0.000, 0.500) (multiplicity 4)
Ag (0.250, 0.250, 0.750) (multiplicity 4)
Sn (0.250, 0.250, 0.250) (multiplicity 4)


Below is an optimized crystal structure of CeNdTcAg, with properties calculated at the PBE level.

Calculated values
- final energy (eV per cell) = -95.42
- energy of formation (eV/atom) = 0.016
- N(E_F) (states/eV per atom) = 1.244
- total moment (μB per formula unit) = 0.39

Lattice parameters (Å, degrees): 7.197 7.197 7.197 90.00 90.00 90.00
Space group F-43m (No. 216)
One atom of each set of equivalent atoms:
Ce (0.000, 0.000, 0.000) (multiplicity 4)
Nd (0.000, 0.000, 0.500) (multiplicity 4)
Tc (0.250, 0.250, 0.250) (multiplicity 4)
Ag (0.250, 0.250, 0.750) (multiplicity 4)


Below is an optimized crystal structure of Ce2NdTl2Ag2, with properties calculated at the PBE level.

Calculated values
- final energy (eV per cell) = -84.73
- energy of formation (eV/atom) = -0.167
- N(E_F) (states/eV per atom) = 1.430
- total moment (μB per formula unit) = 1.18

Lattice parameters (Å, degrees): 4.8177 4.8177 26.9631 90.00 90.00 120.00
Space group R-3m (No. 166, hexagonal axes)
One atom of each set of equivalent atoms:
Ce (0.0000, 0.0000, 0.1438) (multiplicity 6)
Nd (0.0000, 0.0000, 0.0000) (multiplicity 3)
Tl (0.0000, 0.0000, 0.2680) (multiplicity 6)
Ag (0.0000, 0.0000, 0.4311) (multiplicity 6)


Below is an optimized crystal structure of CeNdTmAg, with properties calculated at the PBE level.

Calculated values
- final energy (eV per cell) = -69.92
- energy of formation (eV/atom) = 0.136
- N(E_F) (states/eV per atom) = 2.047
- total moment (μB per formula unit) = 2.88

Lattice parameters (Å, degrees): 7.549 7.549 7.549 90.00 90.00 90.00
Space group F-43m (No. 216)
One atom of each set of equivalent atoms:
Ce (0.000, 0.000, 0.000) (multiplicity 4)
Nd (0.250, 0.250, 0.250) (multiplicity 4)
Tm (0.250, 0.250, 0.750) (multiplicity 4)
Ag (0.000, 0.000, 0.500) (multiplicity 4)


Below is an optimized crystal structure of CeNdZnAg, with properties calculated at the PBE level.

Calculated values
- final energy (eV per cell) = -15.60
- energy of formation (eV/atom) = -0.192
- N(E_F) (states/eV per atom) = 2.211
- total moment (μB per formula unit) = 1.10
- polymorph energy (0 for the lowest one) (eV per atom) = 0.0000

Lattice parameters (Å, degrees): 3.723 3.723 7.315 90.00 90.00 90.00
Space group P4mm (No. 99)
One atom of each set of equivalent atoms:
Ce (0.000, 0.000, 0.000) (multiplicity 1)
Nd (0.000, 0.000, 0.481) (multiplicity 1)
Zn (0.500, 0.500, 0.237) (multiplicity 1)
Ag (0.500, 0.500, 0.740) (multiplicity 1)


Below is an optimized crystal structure of CeNdZnAg, with properties calculated at the PBE level.

Calculated values
- final energy (eV per cell) = -62.00
- energy of formation (eV/atom) = -0.168
- N(E_F) (states/eV per atom) = 2.597
- total moment (μB per formula unit) = 1.42
- polymorph energy (0 for the lowest one) (eV per atom) = 0.0240

Lattice parameters (Å, degrees): 7.422 7.422 7.422 90.00 90.00 90.00
Space group F-43m (No. 216)
One atom of each set of equivalent atoms:
Ce (0.000, 0.000, 0.000) (multiplicity 4)
Nd (0.000, 0.000, 0.500) (multiplicity 4)
Zn (0.250, 0.250, 0.250) (multiplicity 4)
Ag (0.250, 0.250, 0.750) (multiplicity 4)


Below is an optimized crystal structure of Ce3Ni8Ag, with properties calculated at the PBE level.

Calculated values
- final energy (eV per cell) = -213.28
- energy of formation (eV/atom) = -0.349
- N(E_F) (states/eV per atom) = 1.182
- total moment (μB per formula unit) = 0.40

Lattice parameters (Å, degrees): 5.0112 5.0112 24.8275 90.00 90.00 120.00
Space group R3m (No. 160, hexagonal axes)
One atom of each set of equivalent atoms:
Ce (0.0000, 0.0000, 0.0000) (multiplicity 3)
Ce (0.0000, 0.0000, 0.1283) (multiplicity 3)
Ce (0.0000, 0.0000, 0.5114) (multiplicity 3)
Ni (0.0000, 0.0000, 0.3174) (multiplicity 3)
Ni (0.0000, 0.0000, 0.8175) (multiplicity 3)
Ni (0.1674, 0.3347, 0.4002) (multiplicity 9)
Ni (0.1677, 0.3354, 0.9013) (multiplicity 9)
Ag (0.0000, 0.0000, 0.6327) (multiplicity 3)